The following is a DFT calculation (PBE) of KHf3Pb5 after structural relaxation.

```
data_KHf3Pb5
_chemical_formula_sum 'K1 Hf3 Pb5'
_cell_length_a 6.1583
_cell_length_b 6.1583
_cell_length_c 8.1559
_cell_angle_alpha 90.00
_cell_angle_beta 90.00
_cell_angle_gamma 120.00
_symmetry_space_group_name_H-M 'P 6/m m m'
_symmetry_Int_Tables_number 191
_symmetry_space_group_name_Hall '-P 6 2'
loop_
_atom_site_label
_atom_site_fract_x
_atom_site_fract_y
_atom_site_fract_z
K1 0.0000 0.0000 0.0000
Hf1 0.0000 0.5000 0.5000
Pb1 0.0000 0.0000 0.5000
Pb2 0.3333 0.6667 0.1904
```

The following is a DFT calculation (PBE) of Dy2TmPdPt2Pb3 after structural relaxation.

```
data_Dy2TmPdPt2Pb3
_chemical_formula_sum 'Dy4 Tm2 Pd2 Pt4 Pb6'
_cell_length_a 3.923
_cell_length_b 13.415
_cell_length_c 7.776
_cell_angle_alpha 90.00
_cell_angle_beta 90.00
_cell_angle_gamma 90.00
_symmetry_space_group_name_H-M 'A m m 2'
_symmetry_Int_Tables_number 38
_symmetry_space_group_name_Hall 'A 2 -2'
loop_
_atom_site_label
_atom_site_fract_x
_atom_site_fract_y
_atom_site_fract_z
Dy1 0.000 0.203 0.000
Tm1 0.000 0.000 0.390
Pd1 0.000 0.000 0.795
Pt1 0.500 0.165 0.298
Pb1 0.500 0.000 0.059
Pb2 0.500 0.131 0.666
```

The following is a DFT calculation (PBE) of PaTlAu after structural relaxation.

Summary:
The relative energy among the computed polymorphs is 3 meV per atom.

```
data_PaTlAu
_chemical_formula_sum 'Pa4 Tl4 Au4'
_cell_length_a 7.043
_cell_length_b 7.043
_cell_length_c 7.043
_cell_angle_alpha 90.00
_cell_angle_beta 90.00
_cell_angle_gamma 90.00
_symmetry_space_group_name_H-M 'F -4 3 m'
_symmetry_Int_Tables_number 216
_symmetry_space_group_name_Hall 'F -4 2 3'
loop_
_atom_site_label
_atom_site_fract_x
_atom_site_fract_y
_atom_site_fract_z
Pa1 0.000 0.000 0.000
Tl1 0.250 0.250 0.250
Au1 0.250 0.250 0.750
```

Number 1: electronic total energy -49.15 eV for the cell shown. Number 2: electronic total energy -98.79 eV for the cell shown. Number 3: electronic total energy -56.30 eV for the cell shown.